Record 1
A relaxed KHgTe2 crystal. Source: Alexandria, functional PBE.

POSCAR file:
```
KHgTe2
1.0
1.7235 0.9950 13.1584
-1.7235 0.9950 13.1584
0.0000 -1.9901 13.1584
K Hg Te
1 1 2
Cartesian
0.0000 0.0000 0.0000
0.0000 0.0000 19.7376
0.0000 0.0000 10.2890
0.0000 0.0000 29.1862
```

Results
- N(E_F): 3.208 states/eV/f.u.
- Formation energy from raw total energies: -8.0 kJ per mole of atoms
- Total energy: -8.01 eV/cell
- Space group: No. 166

***

Record 2
A relaxed K2Hg3Te2 crystal. Source: Alexandria, functional PBE.

POSCAR file:
```
K2Hg3Te2
1.0
6.0120 -2.5992 0.0000
6.0120 2.5992 0.0000
-1.1632 0.0000 7.5316
K Hg Te
2 3 2
Cartesian
1.2170 0.0000 2.1003
9.6438 0.0000 5.4313
4.6663 0.0000 0.3881
5.4304 0.0000 3.7658
6.1945 0.0000 7.1435
1.2177 0.0000 5.8355
9.6431 0.0000 1.6961
```

Results
- N(E_F): 0.236 states/eV/f.u.
- Formation energy from raw total energies: -48.3 kJ per mole of atoms
- Total energy: -12.89 eV/cell
- Space group: No. 12

***

Record 3
A relaxed KHg2Te crystal. Source: Alexandria, functional PBE.

POSCAR file:
```
KHg2Te
1.0
0.0000 4.0035 4.0035
4.0035 0.0000 4.0035
4.0035 4.0035 0.0000
K Hg Te
1 2 1
Cartesian
0.0000 0.0000 0.0000
2.0017 2.0017 2.0017
4.0035 4.0035 4.0035
6.0052 6.0052 6.0052
```

Results
- N(E_F): 2.352 states/eV/f.u.
- Formation energy from raw total energies: -29.8 kJ per mole of atoms
- Total energy: -6.08 eV/cell
- Space group: No. 216

***

Record 4
A relaxed KHgTe2 crystal. Source: Alexandria, functional PBE.

POSCAR file:
```
KHgTe2
1.0
-4.3306 4.3306 3.6716
4.3306 -4.3306 3.6716
4.3306 4.3306 -3.6716
K Hg Te
2 2 4
Cartesian
0.0000 0.0000 0.0000
0.0000 4.3306 1.8358
4.3306 0.0000 1.8358
0.0000 0.0000 3.6716
2.1653 -1.7055 2.7537
2.6251 2.1653 0.9179
2.1653 6.0361 -0.9179
1.7055 2.1653 4.5895
```

Results
- N(E_F): 2.881 states/eV/f.u.
- Formation energy from raw total energies: -37.0 kJ per mole of atoms
- Total energy: -18.44 eV/cell
- Space group: No. 122

***

Record 5
A relaxed KHgTe2 crystal. Source: Alexandria, functional PBE.

POSCAR file:
```
KHgTe2
1.0
6.7378 0.0000 0.0000
0.0000 6.4717 0.0000
-4.8263 0.0000 14.6978
K Hg Te
4 4 8
Cartesian
0.4048 0.4480 3.6970
-2.0084 2.7878 11.0459
3.9198 3.6839 3.6519
1.5067 6.0236 11.0008
-0.6268 3.7852 7.7674
1.7864 5.9223 0.4185
0.1251 0.5494 14.2793
2.5383 2.6864 6.9304
-1.8817 1.0958 6.6250
-4.2949 2.1400 13.9739
0.5596 3.6620 5.1151
-1.8536 6.0455 12.4640
3.7650 0.4261 2.2338
1.3519 2.8097 9.5827
6.2063 4.3317 0.7239
3.7931 5.3758 8.0728
```

Results
- Formation energy from raw total energies: -44.8 kJ per mole of atoms
- Total energy: -38.16 eV/cell
- Space group: No. 14

***

Record 6
A relaxed K12Hg3Te5 crystal. Source: Alexandria, functional PBE.

POSCAR file:
```
K12Hg3Te5
1.0
-10.6239 10.6239 10.6239
10.6239 -10.6239 10.6239
10.6239 10.6239 -10.6239
K Hg Te
48 12 20
Cartesian
3.0480 -0.6671 1.2691
12.8878 6.5810 -5.9790
9.9567 -1.2691 3.0480
16.6029 -2.2639 4.0428
13.6719 0.6671 1.2691
12.8878 -4.0428 5.9790
1.2691 3.0480 -0.6671
14.6667 4.6448 -2.2639
6.5810 5.9790 -2.2639
9.3547 3.0480 0.6671
-0.6671 1.2691 3.0480
5.9790 -2.2639 6.5810
9.9567 9.3547 -3.0480
5.9790 2.2639 4.0428
9.3547 -3.0480 9.9567
6.5810 -5.9790 12.8878
4.0428 5.9790 2.2639
11.8930 7.5758 0.6671
3.0480 9.9567 -1.2691
12.8878 4.0428 4.6448
5.9790 12.8878 -4.0428
9.9567 1.2691 7.5758
2.2639 4.0428 5.9790
3.0480 0.6671 9.3547
7.5758 9.9567 1.2691
8.3599 6.5810 4.6448
0.6671 9.3547 3.0480
4.6448 -2.2639 14.6667
-2.2639 6.5810 5.9790
7.5758 0.6671 11.8930
-1.2691 3.0480 9.9567
6.5810 4.6448 8.3599
4.0428 16.6029 -2.2639
1.2691 13.6719 0.6671
4.6448 8.3599 6.5810
0.6671 1.2691 13.6719
4.6448 12.8878 4.0428
11.2910 9.3547 7.5758
1.2691 7.5758 9.9567
4.0428 4.6448 12.8878
-4.0428 5.9790 12.8878
9.3547 7.5758 11.2910
-2.2639 14.6667 4.6448
-3.0480 9.9567 9.3547
-5.9790 12.8878 6.5810
0.6671 11.8930 7.5758
-2.2639 4.0428 16.6029
7.5758 11.2910 9.3547
5.3119 2.6560 0.0000
10.6239 5.3119 -2.6560
2.6560 0.0000 5.3119
13.2798 0.0000 5.3119
0.0000 5.3119 2.6560
5.3119 -2.6560 10.6239
5.3119 13.2798 0.0000
10.6239 5.3119 7.9679
-2.6560 10.6239 5.3119
7.9679 10.6239 5.3119
0.0000 5.3119 13.2798
5.3119 7.9679 10.6239
0.0000 0.0000 0.0000
5.3119 5.3119 -5.3119
5.3119 -5.3119 5.3119
10.6239 0.0000 0.0000
15.9358 2.6560 0.0000
10.6239 -5.3119 7.9679
7.9679 10.6239 -5.3119
7.9679 0.0000 5.3119
5.3119 7.9679 0.0000
10.6239 5.3119 2.6560
-5.3119 5.3119 5.3119
0.0000 10.6239 0.0000
0.0000 0.0000 10.6239
5.3119 5.3119 5.3119
0.0000 5.3119 7.9679
5.3119 2.6560 10.6239
2.6560 10.6239 5.3119
2.6560 0.0000 15.9358
0.0000 15.9358 2.6560
-5.3119 7.9679 10.6239
```

Results
- N(E_F): 4.993 states/eV/f.u.
- Formation energy from raw total energies: -56.2 kJ per mole of atoms
- Total energy: -165.73 eV/cell
- Space group: No. 230

***

Record 7
A relaxed K5Hg12Te3 crystal. Source: Alexandria, functional PBE.

POSCAR file:
```
K5Hg12Te3
1.0
-9.7701 9.7701 9.7701
9.7701 -9.7701 9.7701
9.7701 9.7701 -9.7701
K Hg Te
20 48 12
Cartesian
0.0000 0.0000 0.0000
4.8850 4.8850 -4.8850
4.8850 -4.8850 4.8850
9.7701 0.0000 0.0000
14.6551 2.4425 0.0000
9.7701 -4.8850 7.3276
7.3276 9.7701 -4.8850
7.3276 0.0000 4.8850
4.8850 7.3276 0.0000
9.7701 4.8850 2.4425
-4.8850 4.8850 4.8850
0.0000 9.7701 0.0000
0.0000 0.0000 9.7701
4.8850 4.8850 4.8850
0.0000 4.8850 7.3276
4.8850 2.4425 9.7701
2.4425 9.7701 4.8850
2.4425 0.0000 14.6551
0.0000 14.6551 2.4425
-4.8850 7.3276 9.7701
9.3355 -1.8386 2.8271
15.0897 -2.0579 3.0465
2.8271 -0.4346 1.8386
11.8280 6.7236 -5.3196
12.5972 0.4346 1.8386
11.8280 -3.0465 5.3196
1.8386 2.8271 -0.4346
12.8166 4.4505 -2.0579
6.7236 5.3196 -2.0579
7.9315 2.8271 0.4346
-0.4346 1.8386 2.8271
5.3196 -2.0579 6.7236
9.3355 7.9315 -2.8271
5.3196 2.0579 3.0465
7.9315 -2.8271 9.3355
6.7236 -5.3196 11.8280
3.0465 5.3196 2.0579
11.6087 6.9430 0.4346
2.8271 9.3355 -1.8386
11.8280 3.0465 4.4505
2.0579 3.0465 5.3196
2.8271 0.4346 7.9315
5.3196 11.8280 -3.0465
9.3355 1.8386 6.9430
0.4346 7.9315 2.8271
4.4505 -2.0579 12.8166
6.9430 9.3355 1.8386
7.7122 6.7236 4.4505
-2.0579 6.7236 5.3196
6.9430 0.4346 11.6087
-1.8386 2.8271 9.3355
6.7236 4.4505 7.7122
3.0465 15.0897 -2.0579
1.8386 12.5972 0.4346
4.4505 7.7122 6.7236
0.4346 1.8386 12.5972
4.4505 11.8280 3.0465
10.2046 7.9315 6.9430
1.8386 6.9430 9.3355
3.0465 4.4505 11.8280
-3.0465 5.3196 11.8280
7.9315 6.9430 10.2046
-2.0579 12.8166 4.4505
-2.8271 9.3355 7.9315
-2.0579 3.0465 15.0897
6.9430 10.2046 7.9315
-5.3196 11.8280 6.7236
0.4346 11.6087 6.9430
4.8850 2.4425 0.0000
9.7701 4.8850 -2.4425
2.4425 0.0000 4.8850
12.2126 0.0000 4.8850
0.0000 4.8850 2.4425
4.8850 -2.4425 9.7701
4.8850 12.2126 0.0000
9.7701 4.8850 7.3276
-2.4425 9.7701 4.8850
7.3276 9.7701 4.8850
0.0000 4.8850 12.2126
4.8850 7.3276 9.7701
```

Results
- N(E_F): 16.625 states/eV/f.u.
- Formation energy from raw total energies: -14.6 kJ per mole of atoms
- Total energy: -86.24 eV/cell
- Space group: No. 230

***

Record 8
A relaxed KHg4Te2 crystal. Source: Alexandria, functional PBE.

POSCAR file:
```
KHg4Te2
1.0
3.9625 -2.4320 0.0000
3.9625 2.4320 0.0000
-1.0148 0.0000 12.5072
K Hg Te
1 4 2
Cartesian
0.0000 0.0000 0.0000
0.7426 0.0000 5.5765
2.6399 0.0000 3.4840
4.2703 0.0000 9.0232
6.1677 0.0000 6.9308
1.6918 0.0000 10.1704
5.2185 0.0000 2.3368
```

Results
- N(E_F): 1.540 states/eV/f.u.
- Formation energy from raw total energies: -23.1 kJ per mole of atoms
- Total energy: -10.26 eV/cell
- Space group: No. 12

***

What is the formation energy from raw total energies in the sixth record? -56.2 kJ per mole of atoms

***

Which value of formation energy from raw total energies does entry 3 give? -29.8 kJ per mole of atoms

***

Number 6 is which compound? K12Hg3Te5

***

What is the formula in the first record? KHgTe2